The following is a GGA+U calculation of a relaxed structure of AcCo2RhO8, from the Alexandria database.

Properties
DFT total energy = -144.1 eV/cell
DOS at the Fermi energy = 9.310 states/eV per cell
density = 5.952 g cm⁻³

Structure (CIF):
```
data_AcCo2RhO8
_cell_length_a 7.0258
_cell_length_b 7.0258
_cell_length_c 6.5087
_cell_angle_alpha 90.00
_cell_angle_beta 90.00
_cell_angle_gamma 90.00
_space_group_name_H-M_alt 'I -4 m 2'
_space_group_IT_number 119
_space_group_name_Hall 'I -4 -2'
loop_
_atom_site_label
_atom_site_fract_x
_atom_site_fract_y
_atom_site_fract_z
Ac1 0.0000 0.0000 0.0000
Co1 0.0000 0.0000 0.5000
Co2 0.0000 0.5000 0.2500
Rh1 0.0000 0.5000 0.7500
O1 0.0000 0.2031 0.6807
O2 0.0000 0.3452 0.0441
```